Entry 1:
First-principles (SCAN) data for Ba2MnRe at its PBEsol-relaxed geometry, as listed in Alexandria.

Calculated values
Formation enthalpy at 0 K in eV/atom: 0.751
Distance to the lowest polymorph of the same formula in meV per atom: 97
Symmetry: Immm, No. 71
DOS(E_F) in states/eV/f.u.: 4.094
Total energy in eV/atom: -41.36

a b c (Å): 3.3734 3.4814 9.7613
angles (deg): 100.27 99.95 90.00
With the nearest neighbours (Å) after each atom.
Positions (direct):
Re1 0.0000 0.5000 0.0000  4 Mn 2.42
Mn1 0.5000 0.0000 0.0000  4 Re 2.42
Ba1 0.8551 0.8551 0.7102  2 Mn 3.22, 2 Re 3.25, 4 Ba 3.37-3.48
Ba2 0.1449 0.1449 0.2898  2 Mn 3.22, 2 Re 3.25, 4 Ba 3.37-3.48



Entry 2:
First-principles (SCAN) data for Ba3P4O13 at its PBEsol-relaxed geometry, as listed in Alexandria.

Calculated values
Symmetry: P-1, No. 2
DOS(E_F) in states/eV/f.u.: 0.000
Total energy in eV/atom: -15.00

a b c (Å): 7.5800 8.6639 10.5901
angles (deg): 107.77 104.40 102.82
With the nearest neighbours (Å) after each atom.
Positions (direct):
O1 0.7016 0.8345 0.2270  1 P 1.52
O2 0.5416 0.5121 0.7277  1 P 1.50
O3 0.1936 0.4628 0.7200  2 P 1.60-1.61
O4 0.8201 0.1995 0.2889  1 P 1.51
O5 0.4584 0.4879 0.2723  1 P 1.50
O6 0.1799 0.8005 0.7111  1 P 1.51
O7 0.1987 0.3857 0.9322  2 P 1.59-1.64
O8 0.2879 0.6940 0.9730  1 P 1.50
O9 0.2968 0.8617 0.5174  1 P 1.53
O10 0.5368 0.8883 0.7426  1 P 1.54
O11 0.7032 0.1383 0.4826  1 P 1.53
O12 0.8111 0.8866 0.0281  1 P 1.53
O13 0.3089 0.5952 0.5612  2 P 1.60-1.66
O14 0.6911 0.4048 0.4388  2 P 1.60-1.66
O15 0.8064 0.5372 0.2800  2 P 1.60-1.61
O16 0.0529 0.8976 0.2454  1 P 1.54
O17 0.0574 0.4997 0.1769  1 P 1.50
O18 0.9426 0.5003 0.8231  1 P 1.50
O19 0.2984 0.1655 0.7730  1 P 1.52
O20 0.8013 0.6143 0.0678  2 P 1.59-1.64
O21 0.2609 0.2864 0.5129  1 P 1.51
O22 0.7391 0.7136 0.4871  1 P 1.51
O23 0.1889 0.1134 0.9719  1 P 1.53
O24 0.7121 0.3060 0.0270  1 P 1.50
O25 0.9471 0.1024 0.7546  1 P 1.54
O26 0.4632 0.1117 0.2574  1 P 1.54
Ba1 0.3653 0.7782 0.2717  7 O 2.67-2.89
Ba2 0.5000 0.0000 0.0000  6 O 2.67-2.73
Ba3 0.8518 0.7718 0.7734  7 O 2.69-2.88
Ba4 0.1482 0.2282 0.2266  7 O 2.69-2.88
Ba5 0.0000 0.0000 0.5000  8 O 2.73-2.88
Ba6 0.6347 0.2218 0.7283  7 O 2.67-2.89
P1 0.3374 0.4597 0.6321  4 O 1.50-1.60
P2 0.6712 0.2010 0.3614  4 O 1.51-1.66
P3 0.1539 0.5216 0.8669  4 O 1.50-1.61
P4 0.6626 0.5403 0.3679  4 O 1.50-1.60
P5 0.8461 0.4784 0.1331  4 O 1.50-1.61
P6 0.3288 0.7990 0.6386  4 O 1.51-1.66
P7 0.1584 0.1803 0.8531  4 O 1.52-1.64
P8 0.8416 0.8197 0.1469  4 O 1.52-1.64



Entry 3:
First-principles (SCAN) data for NbBrF2 at its PBEsol-relaxed geometry, as listed in Alexandria.

Calculated values
Distance to the lowest polymorph of the same formula in meV per atom: 0
Symmetry: I4_1/amd, No. 141
DOS(E_F) in states/eV/f.u.: 0.970
Total energy in eV/atom: -16.64

a b c (Å): 4.4854 4.4854 7.5915
angles (deg): 107.18 107.18 90.00
With the nearest neighbours (Å) after each atom.
Positions (direct):
F1 0.1250 0.8750 0.2500  2 Nb 2.06, 2 F 2.24
F2 0.1250 0.8750 0.7500  2 Nb 2.06, 2 F 2.24
F3 0.6250 0.8750 0.7500  2 Nb 2.06, 2 F 2.24
F4 0.1250 0.3750 0.2500  2 Nb 2.06, 2 F 2.24
Nb1 0.0000 0.0000 0.0000  4 F 2.06
Nb2 0.2500 0.7500 0.5000  4 F 2.06
Br1 0.7500 0.2500 0.5000  8 F 3.04, 4 Nb 3.17
Br2 0.5000 0.5000 0.0000  8 F 3.04, 4 Nb 3.17



Entry 4:
First-principles (SCAN) data for EuCrO3 at its PBEsol-relaxed geometry, as listed in Alexandria.

Calculated values
Symmetry: Pnma, No. 62
DOS(E_F) in states/eV/f.u.: 5.870
Total energy in eV/atom: -21.06

a b c (Å): 5.3655 5.3765 7.5891
angles (deg): 90.00 90.00 90.00
With the nearest neighbours (Å) after each atom.
Positions (direct):
O1 0.2862 0.7135 0.9649  2 Cr 1.94
O2 0.4327 0.9884 0.2500  2 Cr 1.93
O3 0.7138 0.2865 0.0351  2 Cr 1.94
O4 0.9327 0.5116 0.7500  2 Cr 1.93
O5 0.7862 0.7865 0.0351  2 Cr 1.94
O6 0.2138 0.2135 0.5351  2 Cr 1.94
O7 0.0673 0.4884 0.2500  2 Cr 1.93
O8 0.5673 0.0116 0.7500  2 Cr 1.93
O9 0.7138 0.2865 0.4649  2 Cr 1.94
O10 0.2862 0.7135 0.5351  2 Cr 1.94
O11 0.7862 0.7865 0.4649  2 Cr 1.94
O12 0.2138 0.2135 0.9649  2 Cr 1.94
Cr1 0.0000 0.5000 0.0000  6 O 1.93-1.94
Cr2 0.0000 0.5000 0.5000  6 O 1.93-1.94
Cr3 0.5000 0.0000 0.5000  6 O 1.93-1.94
Cr4 0.5000 0.0000 0.0000  6 O 1.93-1.94
Eu1 0.4943 0.4664 0.7500  8 O 2.37-2.65
Eu2 0.0057 0.9664 0.7500  8 O 2.37-2.65
Eu3 0.5057 0.5336 0.2500  8 O 2.37-2.65
Eu4 0.9943 0.0336 0.2500  8 O 2.37-2.65



Entry 5:
First-principles (SCAN) data for TlFeTeF2 at its PBEsol-relaxed geometry, as listed in Alexandria.

Calculated values
Symmetry: P4/mmm, No. 123
DOS(E_F) in states/eV/f.u.: 1.695
Total energy in eV/atom: -27.56

a b c (Å): 4.4193 4.4193 4.8247
angles (deg): 90.00 90.00 90.00
With the nearest neighbours (Å) after each atom.
Positions (direct):
Fe1 0.0000 0.0000 0.5000  2 Te 2.41
Te1 0.0000 0.0000 0.0000  4 F 2.21, 2 Fe 2.41
F1 0.0000 0.5000 0.0000  2 Te 2.21
F2 0.5000 0.0000 0.0000  2 Te 2.21
Tl1 0.5000 0.5000 0.5000  4 Fe 3.12, 8 F 3.27



Entry 6:
First-principles (SCAN) data for InHg4 at its PBEsol-relaxed geometry, as listed in Alexandria.

Calculated values
Formation enthalpy at 0 K in eV/atom: 0.015
Distance to the lowest polymorph of the same formula in meV per atom: 0
Symmetry: I4/m, No. 87
DOS(E_F) in states/eV/f.u.: 1.106
Total energy in eV/atom: -61.20

a b c (Å): 4.2540 5.6887 5.6887
angles (deg): 81.96 68.04 68.04
With the nearest neighbours (Å) after each atom.
Positions (direct):
Hg1 0.8022 0.5977 0.7979  9 Hg 3.16-3.36, 3 In 3.19-3.33
Hg2 0.1978 0.4023 0.2021  9 Hg 3.16-3.36, 3 In 3.19-3.33
Hg3 0.6001 0.2021 0.5977  9 Hg 3.16-3.36, 3 In 3.19-3.33
Hg4 0.3999 0.7979 0.4023  9 Hg 3.16-3.36, 3 In 3.19-3.33
In1 0.0000 0.0000 0.0000  12 Hg 3.19-3.33



Entry 7:
First-principles (SCAN) data for CaY2Rh at its PBEsol-relaxed geometry, as listed in Alexandria.

Calculated values
Formation enthalpy at 0 K in eV/atom: -0.417
Distance to the lowest polymorph of the same formula in meV per atom: 0
Symmetry: Immm, No. 71
DOS(E_F) in states/eV/f.u.: 2.831
Total energy in eV/atom: -25.20

a b c (Å): 3.6596 5.5381 6.1504
angles (deg): 116.76 107.31 90.00
With the nearest neighbours (Å) after each atom.
Positions (direct):
Rh1 0.0000 0.5000 0.0000  4 Y 2.70
Y1 0.3083 0.3083 0.6165  2 Rh 2.70
Y2 0.6917 0.6917 0.3835  2 Rh 2.70
Ca1 0.5000 0.0000 0.0000  4 Rh 3.32, 8 Y 3.41-3.68, 2 Ca 3.66



Entry 8:
First-principles (SCAN) data for Tl2SeCl at its PBEsol-relaxed geometry, as listed in Alexandria.

Calculated values
Distance to the lowest polymorph of the same formula in meV per atom: 89
Symmetry: Fm-3m, No. 225
DOS(E_F) in states/eV/f.u.: 2.597
Total energy in eV/atom: -43.72

a b c (Å): 5.1994 5.1994 5.1994
angles (deg): 60.00 60.00 60.00
With the nearest neighbours (Å) after each atom.
Positions (direct):
Se1 0.5000 0.5000 0.5000  8 Tl 3.18
Cl1 0.0000 0.0000 0.0000  8 Tl 3.18
Tl1 0.7500 0.7500 0.7500  4 Se 3.18, 4 Cl 3.18
Tl2 0.2500 0.2500 0.2500  4 Cl 3.18, 4 Se 3.18



Entry 9:
First-principles (SCAN) data for GeIN2O at its PBEsol-relaxed geometry, as listed in Alexandria.

Calculated values
Symmetry: P4/mmm, No. 123
DOS(E_F) in states/eV/f.u.: 2.892
Total energy in eV/atom: -13.97

a b c (Å): 4.0906 4.0906 4.2875
angles (deg): 90.00 90.00 90.00
With the nearest neighbours (Å) after each atom.
Positions (direct):
O1 0.0000 0.0000 0.0000  4 N 2.05, 2 I 2.14
I1 0.0000 0.0000 0.5000  2 O 2.14
Ge1 0.5000 0.5000 0.5000  4 I 2.89, 8 N 2.96
N1 0.0000 0.5000 0.0000  2 O 2.05
N2 0.5000 0.0000 0.0000  2 O 2.05



Entry 10:
First-principles (SCAN) data for LiCaHg at its PBEsol-relaxed geometry, as listed in Alexandria.

Calculated values
Formation enthalpy at 0 K in eV/atom: -0.546
Distance to the lowest polymorph of the same formula in meV per atom: 0
Symmetry: Cmcm, No. 63
DOS(E_F) in states/eV/f.u.: 1.853
Total energy in eV/atom: -27.29

a b c (Å): 4.4554 5.9201 5.8909
angles (deg): 90.00 90.00 112.10
With the nearest neighbours (Å) after each atom.
Positions (direct):
Ca1 0.7022 0.4045 0.2500  5 Hg 3.19-3.21, 4 Li 3.47
Ca2 0.2978 0.5955 0.7500  5 Hg 3.19-3.21, 4 Li 3.47
Hg1 0.5899 0.1799 0.7500  4 Li 2.85, 2 Ca 3.19
Hg2 0.4101 0.8201 0.2500  4 Li 2.85, 2 Ca 3.19
Li1 0.0000 0.0000 0.0000  4 Hg 2.85, 2 Li 2.95
Li2 0.0000 0.0000 0.5000  4 Hg 2.85, 2 Li 2.95



Entry 11:
First-principles (SCAN) data for LiMn2P3O10 at its PBEsol-relaxed geometry, as listed in Alexandria.

Calculated values
Distance to the lowest polymorph of the same formula in meV per atom: 70
Symmetry: C2/c, No. 15
DOS(E_F) in states/eV/f.u.: 0.000
Total energy in eV/atom: -10.67

a b c (Å): 8.1777 8.1777 8.8813
angles (deg): 92.80 116.50 117.55
With the nearest neighbours (Å) after each atom.
Positions (direct):
Mn1 0.2975 0.7122 0.0444  4 O 2.00-2.05
Mn2 0.1678 0.2531 0.4556  4 O 2.00-2.05
Mn3 0.8322 0.7469 0.5444  4 O 2.00-2.05
Mn4 0.7025 0.2878 0.9556  4 O 2.00-2.05
O1 0.2059 0.7969 0.3764  2 P 1.61-1.63
O2 0.7941 0.2031 0.6236  2 P 1.61-1.63
O3 0.2836 0.1285 0.3694  1 P 1.50
O4 0.7409 0.0857 0.8694  1 P 1.50
O5 0.2722 0.3192 0.7160  1 P 1.53
O6 0.1032 0.5562 0.7840  1 P 1.53
O7 0.7543 0.4646 0.5074  1 P 1.53
O8 0.7635 0.4372 0.7950  1 P 1.52
O9 0.2365 0.5628 0.2050  1 P 1.52
O10 0.8968 0.4438 0.2160  1 P 1.53
O11 0.8579 0.0315 0.2950  1 P 1.52
O12 0.0794 0.1705 0.8764  2 P 1.61-1.63
O13 0.2591 0.9143 0.1306  1 P 1.50
O14 0.7278 0.6808 0.2840  1 P 1.53
O15 0.2457 0.5354 0.4926  1 P 1.53
O16 0.7164 0.8715 0.6306  1 P 1.50
O17 0.9206 0.8295 0.1236  2 P 1.61-1.63
O18 0.5427 0.7531 0.0074  1 P 1.53
O19 0.4573 0.2469 0.9926  1 P 1.53
O20 0.1421 0.9685 0.7050  1 P 1.52
P1 0.8212 0.0712 0.7500  4 O 1.50-1.61
P2 0.1456 0.5751 0.3185  4 O 1.52-1.63
P3 0.7566 0.8271 0.1815  4 O 1.52-1.63
P4 0.2434 0.1729 0.8185  4 O 1.52-1.63
P5 0.8544 0.4249 0.6815  4 O 1.52-1.63
P6 0.1788 0.9288 0.2500  4 O 1.50-1.61
Li1 0.6612 0.4112 0.2500  4 O 1.98-2.01
Li2 0.3388 0.5888 0.7500  4 O 1.98-2.01



Entry 12:
First-principles (SCAN) data for Ba2Pt at its PBEsol-relaxed geometry, as listed in Alexandria.

Calculated values
Formation enthalpy at 0 K in eV/atom: 0.019
Symmetry: P6/mmm, No. 191
DOS(E_F) in states/eV/f.u.: 3.174
Total energy in eV/atom: -49.75

a b c (Å): 3.4574 5.4114 5.4114
angles (deg): 120.00 90.00 90.00
With the nearest neighbours (Å) after each atom.
Positions (direct):
Ba1 0.0000 0.3333 0.6667  5 Ba 3.12-3.46
Ba2 0.0000 0.6667 0.3333  5 Ba 3.12-3.46
Pt1 0.5000 0.0000 0.0000  2 Pt 3.46, 12 Ba 3.57